The following is a GGA-PBE calculation of LaAl2Cl after structural relaxation, from Alexandria.

abc: 5.8358 5.8358 3.3750
angles: 90.00 90.00 121.56
Last column: nearest neighbours and their distance in Å.
Atoms (fractional coordinates):
Cl: 0.5000 0.0000 0.5000  2 La 2.85
Al: 0.0000 0.0000 0.0000  2 Al 2.85
Al: 0.5000 0.5000 0.0000  2 Al 2.85
La: 0.0000 0.5000 0.5000  2 Cl 2.85

Results
Spin magnetization, μB/atom: 0.00
Energy relative to the elements, uncorrected, kJ/mol of formula units: -131
E above lowest polymorph, eV per atom: 0.350
Calculated total energy, eV per atom: -3.904
N(E_F), states/eV/f.u.: 3.38